one | Compound: HfRhCl3
Source: the Alexandria database
Functional: GGA-PBE
Structure: optimized geometry

Computed properties:
**Total moment**: 0.01 μB/f.u.

```
data_HfRhCl3
_symmetry_space_group_name_H-M 'P m -3 m'
_symmetry_Int_Tables_number 221
_symmetry_space_group_name_Hall '-P 4 2 3'
_cell_length_a 4.9276
_cell_length_b 4.9276
_cell_length_c 4.9276
_cell_angle_alpha 90.00
_cell_angle_beta 90.00
_cell_angle_gamma 90.00
loop_
_atom_site_label
_atom_site_type_symbol
_atom_site_fract_x
_atom_site_fract_y
_atom_site_fract_z
Hf1 Hf 0.0000 0.0000 0.0000
Rh1 Rh 0.5000 0.5000 0.5000
Cl1 Cl 0.0000 0.0000 0.5000
```

two | Compound: HfRhCl3
Source: the Alexandria database
Functional: GGA-PBE
Structure: optimized geometry

Computed properties:
**Total moment**: 1.98 μB/f.u.

```
data_HfRhCl3
_symmetry_space_group_name_H-M 'P m -3 m'
_symmetry_Int_Tables_number 221
_symmetry_space_group_name_Hall '-P 4 2 3'
_cell_length_a 4.7749
_cell_length_b 4.7749
_cell_length_c 4.7749
_cell_angle_alpha 90.00
_cell_angle_beta 90.00
_cell_angle_gamma 90.00
loop_
_atom_site_label
_atom_site_type_symbol
_atom_site_fract_x
_atom_site_fract_y
_atom_site_fract_z
Hf1 Hf 0.0000 0.0000 0.0000
Rh1 Rh 0.5000 0.5000 0.5000
Cl1 Cl 0.0000 0.5000 0.5000
```

If we sort the structures by their calculated energies, the order from most to least stable is one, two.